# SCAN SrHfIn2Ag, PBEsol geometry
data_SrHfIn2Ag
_chemical_formula_sum 'Sr1 Hf1 In2 Ag1'
_cell_length_a 5.694
_cell_length_b 5.694
_cell_length_c 5.308
_cell_angle_alpha 90.00
_cell_angle_beta 90.00
_cell_angle_gamma 90.00
_space_group_name_H-M_alt 'P 4/m m m'
_space_group_IT_number 123
_space_group_name_Hall '-P 4 2'
loop_
_atom_site_label
_atom_site_type_symbol
_atom_site_fract_x
_atom_site_fract_y
_atom_site_fract_z
_atom_site_occupancy
Sr1 Sr 0.000 0.000 0.000 1
Hf1 Hf 0.000 0.000 0.500 1
In1 In 0.000 0.500 0.000 1
Ag1 Ag 0.500 0.500 0.500 1
# DFT total energy ... -34.941 eV/atom